Record 1
BaNi2SbIr: single point on PBEsol structure, meta-GGA SCAN.

Unit cell a=4.7295 b=4.7295 c=5.0005 alpha=90.00 beta=90.00 gamma=90.00
Fractional positions:
1 Ir 0.0000 0.0000 0.5000
2 Sb 0.0000 0.0000 0.0000
3 Ba 0.5000 0.5000 0.5000
4 Ni 0.5000 0.0000 0.0000
5 Ni 0.0000 0.5000 0.0000

## Properties
VASP energy, eV for the cell shown: -178.25
E_form (uncorrected), eV per atom: 0.40


Record 2
Ba7Ir6O19: single point on PBEsol structure, meta-GGA SCAN.

Unit cell a=5.7295 b=7.9485 c=11.0048 alpha=98.70 beta=90.00 gamma=111.13
Fractional positions:
1 O 0.3958 0.7916 0.0631
2 O 0.0555 0.1110 0.1496
3 O 0.5269 0.5168 0.8375
4 O 0.7026 0.4052 0.6124
5 O 0.6780 0.8557 0.2944
6 O 0.8223 0.1443 0.7056
7 O 0.6414 0.7510 0.6311
8 O 0.2974 0.5948 0.3876
9 O 0.1095 0.7510 0.6311
10 O 0.1777 0.8557 0.2944
11 O 0.3586 0.2490 0.3689
12 O 0.0000 0.0000 0.5000
13 O 0.8905 0.2490 0.3689
14 O 0.3220 0.1443 0.7056
15 O 0.4731 0.4832 0.1625
16 O 0.9899 0.5168 0.8375
17 O 0.6042 0.2084 0.9369
18 O 0.9445 0.8890 0.8504
19 O 0.0101 0.4832 0.1625
20 Ir 0.0221 0.0442 0.3232
21 Ir 0.8183 0.6366 0.7345
22 Ir 0.9779 0.9558 0.6768
23 Ir 0.1817 0.3634 0.2655
24 Ir 0.6563 0.3127 0.7820
25 Ir 0.3437 0.6873 0.2180
26 Ba 0.4270 0.8541 0.8376
27 Ba 0.5000 0.0000 0.5000
28 Ba 0.8022 0.6044 0.4089
29 Ba 0.5730 0.1459 0.1624
30 Ba 0.8551 0.7102 0.0543
31 Ba 0.1449 0.2898 0.9457
32 Ba 0.1978 0.3956 0.5911

## Properties
VASP energy, eV for the cell shown: -882.01
E_form (uncorrected), eV per atom: -1.88


Record 3
Ba2IrO4: single point on PBEsol structure, meta-GGA SCAN.

Unit cell a=4.0054 b=4.0054 c=7.2245 alpha=106.09 beta=106.09 gamma=90.00
Fractional positions:
1 Ir 0.0000 0.0000 0.0000
2 O 0.0000 0.5000 0.0000
3 O 0.5000 0.0000 0.0000
4 O 0.1547 0.1547 0.3095
5 O 0.8453 0.8453 0.6905
6 Ba 0.6452 0.6452 0.2905
7 Ba 0.3548 0.3548 0.7095

## Properties
VASP energy, eV for the cell shown: -189.75
E_form (uncorrected), eV per atom: -2.09


Record 4
Ba3IrO: single point on PBEsol structure, meta-GGA SCAN.

Unit cell a=5.2053 b=5.2053 c=5.2053 alpha=90.00 beta=90.00 gamma=90.00
Fractional positions:
1 O 0.0000 0.0000 0.0000
2 Ba 0.0000 0.0000 0.5000
3 Ba 0.5000 0.0000 0.0000
4 Ba 0.0000 0.5000 0.0000
5 Ir 0.5000 0.5000 0.5000

## Properties
VASP energy, eV for the cell shown: -200.75
E_form (uncorrected), eV per atom: -0.95


Record 5
Ba10Pr5IrRu4O30: single point on PBEsol structure, meta-GGA SCAN.

Unit cell a=6.0132 b=6.0132 c=24.8060 alpha=83.04 beta=83.04 gamma=60.00
Fractional positions:
1 O 0.0200 0.5628 0.8543
2 O 0.0371 0.0371 0.3458
3 O 0.8372 0.8372 0.9458
4 O 0.4200 0.9629 0.6542
5 O 0.9629 0.4200 0.6542
6 O 0.9629 0.9629 0.6542
7 O 0.5800 0.0371 0.3458
8 O 0.7793 0.2375 0.7457
9 O 0.9800 0.4372 0.1457
10 O 0.8372 0.3798 0.9458
11 O 0.8220 0.3619 0.4541
12 O 0.4372 0.9800 0.1457
13 O 0.1780 0.6381 0.5459
14 O 0.4372 0.4372 0.1457
15 O 0.6381 0.1780 0.5459
16 O 0.7625 0.7625 0.2543
17 O 0.6202 0.1628 0.0542
18 O 0.3619 0.8220 0.4541
19 O 0.1628 0.6202 0.0542
20 O 0.1628 0.1628 0.0542
21 O 0.5628 0.5628 0.8543
22 O 0.2375 0.7793 0.7457
23 O 0.2207 0.7625 0.2543
24 O 0.5628 0.0200 0.8543
25 O 0.7625 0.2207 0.2543
26 O 0.3619 0.3619 0.4541
27 O 0.6381 0.6381 0.5459
28 O 0.3798 0.8372 0.9458
29 O 0.0371 0.5800 0.3458
30 O 0.2375 0.2375 0.7457
31 Ru 0.9000 0.9000 0.3001
32 Ru 0.3000 0.3000 0.1000
33 Ru 0.1000 0.1000 0.6999
34 Ru 0.7000 0.7000 0.9000
35 Ba 0.1497 0.1497 0.5510
36 Ba 0.2501 0.2501 0.2496
37 Ba 0.3500 0.3500 0.9500
38 Ba 0.9500 0.9500 0.1500
39 Ba 0.7499 0.7499 0.7504
40 Ba 0.4495 0.4495 0.6515
41 Ba 0.6500 0.6500 0.0500
42 Ba 0.5505 0.5505 0.3485
43 Ba 0.0500 0.0500 0.8500
44 Ba 0.8503 0.8503 0.4490
45 Pr 0.2001 0.2001 0.3997
46 Pr 0.7999 0.7999 0.6003
47 Pr 0.0000 0.0000 0.0000
48 Pr 0.3999 0.3999 0.8002
49 Pr 0.6001 0.6001 0.1998
50 Ir 0.5000 0.5000 0.5000

## Properties
VASP energy, eV for the cell shown: -1140.13
E_form (uncorrected), eV per atom: -2.61


Record 6
Ba3TbIrRuO9: single point on PBEsol structure, meta-GGA SCAN.

Unit cell a=5.8663 b=5.8663 c=14.5113 alpha=90.00 beta=90.00 gamma=120.00
Fractional positions:
1 O 0.8228 0.6455 0.9110
2 O 0.1772 0.8228 0.4110
3 O 0.4907 0.9815 0.2512
4 O 0.8234 0.1766 0.5863
5 O 0.8234 0.6469 0.5863
6 O 0.9815 0.4907 0.7512
7 O 0.1766 0.8234 0.0863
8 O 0.1766 0.3531 0.0863
9 O 0.4907 0.5093 0.2512
10 O 0.6469 0.8234 0.0863
11 O 0.3531 0.1766 0.5863
12 O 0.8228 0.1772 0.9110
13 O 0.6455 0.8228 0.4110
14 O 0.1772 0.3545 0.4110
15 O 0.3545 0.1772 0.9110
16 O 0.5093 0.4907 0.7512
17 O 0.0185 0.5093 0.2512
18 O 0.5093 0.0185 0.7512
19 Ir 0.3333 0.6667 0.1650
20 Ir 0.6667 0.3333 0.6650
21 Ba 0.3333 0.6667 0.9077
22 Ba 0.3333 0.6667 0.5951
23 Ba 0.6667 0.3333 0.4077
24 Ba 0.0000 0.0000 0.2499
25 Ba 0.0000 0.0000 0.7499
26 Ba 0.6667 0.3333 0.0951
27 Tb 0.0000 0.0000 0.0003
28 Tb 0.0000 0.0000 0.5003
29 Ru 0.6667 0.3333 0.8362
30 Ru 0.3333 0.6667 0.3362

## Properties
VASP energy, eV for the cell shown: -728.05
E_form (uncorrected), eV per atom: -2.44


Record 7
Ba3TmIrRuO9: single point on PBEsol structure, meta-GGA SCAN.

Unit cell a=5.8334 b=5.8334 c=14.3909 alpha=90.00 beta=90.00 gamma=120.00
Fractional positions:
1 O 0.5093 0.4907 0.7488
2 O 0.3514 0.1757 0.5872
3 O 0.1750 0.8250 0.4153
4 O 0.9814 0.4907 0.7488
5 O 0.6486 0.8243 0.0872
6 O 0.1750 0.3501 0.4153
7 O 0.1757 0.8243 0.0872
8 O 0.1757 0.3514 0.0872
9 O 0.8243 0.1757 0.5872
10 O 0.4907 0.9814 0.2488
11 O 0.6499 0.8250 0.4153
12 O 0.0186 0.5093 0.2488
13 O 0.8250 0.6499 0.9153
14 O 0.8243 0.6486 0.5872
15 O 0.8250 0.1750 0.9153
16 O 0.4907 0.5093 0.2488
17 O 0.3501 0.1750 0.9153
18 O 0.5093 0.0186 0.7488
19 Ru 0.6667 0.3333 0.6628
20 Ru 0.3333 0.6667 0.1628
21 Ir 0.3333 0.6667 0.3359
22 Ir 0.6667 0.3333 0.8359
23 Ba 0.6667 0.3333 0.4073
24 Ba 0.3333 0.6667 0.5906
25 Ba 0.3333 0.6667 0.9073
26 Ba 0.0000 0.0000 0.2501
27 Ba 0.6667 0.3333 0.0906
28 Ba 0.0000 0.0000 0.7501
29 Tm 0.0000 0.0000 0.9997
30 Tm 0.0000 0.0000 0.4997

## Properties
VASP energy, eV for the cell shown: -739.14
E_form (uncorrected), eV per atom: -2.47


Record 8
Ba2YIrO6: single point on PBEsol structure, meta-GGA SCAN.

Unit cell a=5.8880 b=5.8880 c=5.8880 alpha=60.00 beta=60.00 gamma=60.00
Fractional positions:
1 Ba 0.7500 0.7500 0.7500
2 Ba 0.2500 0.2500 0.2500
3 O 0.7361 0.2639 0.7361
4 O 0.2639 0.2639 0.7361
5 O 0.2639 0.7361 0.2639
6 O 0.2639 0.7361 0.7361
7 O 0.7361 0.2639 0.2639
8 O 0.7361 0.7361 0.2639
9 Y 0.0000 0.0000 0.0000
10 Ir 0.5000 0.5000 0.5000

## Properties
VASP energy, eV for the cell shown: -241.75
E_form (uncorrected), eV per atom: -2.63


> E_form (uncorrected) of number 7 (Ba3TmIrRuO9)?

-2.47 eV per atom


> Number 7 is which compound?

Ba3TmIrRuO9